(1)
# NaHfTl | the Alexandria database | GGA-PBE | optimized geometry
# Excess energy over the best structure of this formula in the dataset   35.6 meV per atom
data_NaHfTl
_chemical_formula_sum 'Na4 Hf4 Tl4'
_cell_length_a 5.792
_cell_length_b 3.343
_cell_length_c 16.214
_cell_angle_alpha 90.00
_cell_angle_beta 97.02
_cell_angle_gamma 90.00
_space_group_name_H-M_alt 'C 1 2/m 1'
_space_group_IT_number 12
loop_
_space_group_symop_operation_xyz
'x,y,z'
'-x,-y,-z'
'-x,y,-z'
'x,-y,z'
'x+1/2,y+1/2,z'
'-x+1/2,-y+1/2,-z'
'-x+1/2,y+1/2,-z'
'x+1/2,-y+1/2,z'
loop_
_atom_site_label
_atom_site_type_symbol
_atom_site_fract_x
_atom_site_fract_y
_atom_site_fract_z
Na1 Na 0.196 0.000 0.097
Hf1 Hf 0.142 0.500 0.428
Tl1 Tl 0.080 0.000 0.734

---

(2)
## SmDyMg2Ag4 (GGA-PBE)

Data for SmDyMg2Ag4 after structural relaxation.

Cell and atoms, written as CIF:
```
data_SmDyMg2Ag4
_chemical_formula_sum 'Sm3 Dy3 Mg6 Ag12'
_cell_length_a 4.9997
_cell_length_b 4.9997
_cell_length_c 24.2318
_cell_angle_alpha 90.00
_cell_angle_beta 90.00
_cell_angle_gamma 120.00
_space_group_name_H-M_alt 'R -3 m'
_space_group_IT_number 166
_space_group_name_Hall '-R 3 2"'
loop_
_atom_site_label
_atom_site_type_symbol
_atom_site_fract_x
_atom_site_fract_y
_atom_site_fract_z
Sm1 Sm 0.0000 0.0000 0.0000
Dy1 Dy 0.0000 0.0000 0.5000
Mg1 Mg 0.0000 0.0000 0.2498
Ag1 Ag 0.0000 0.0000 0.1280
Ag2 Ag 0.0000 0.0000 0.3758
```

---

(3)
## MnFeOs2 (GGA-PBE)

Data for MnFeOs2 after structural relaxation.

Cell and atoms, written as CIF:
```
data_MnFeOs2
_chemical_formula_sum 'Mn2 Fe2 Os4'
_cell_length_a 2.799
_cell_length_b 4.475
_cell_length_c 8.682
_cell_angle_alpha 90.00
_cell_angle_beta 90.00
_cell_angle_gamma 90.00
_space_group_name_H-M_alt 'C m m 2'
_space_group_IT_number 35
loop_
_space_group_symop_operation_xyz
'x,y,z'
'-x,-y,z'
'-x,y,z'
'x,-y,z'
'x+1/2,y+1/2,z'
'-x+1/2,-y+1/2,z'
'-x+1/2,y+1/2,z'
'x+1/2,-y+1/2,z'
loop_
_atom_site_label
_atom_site_type_symbol
_atom_site_fract_x
_atom_site_fract_y
_atom_site_fract_z
Mn1 Mn 0.000 0.000 0.000
Fe1 Fe 0.000 0.500 0.764
Os1 Os 0.000 0.000 0.518
Os2 Os 0.000 0.500 0.245
```

---

The evaluated ΔE_f for the records listed, in turn: 0.0247 -0.2931 0.3861 eV per atom.
The evaluated DFT total energy for the records listed, in turn: -54.26 -78.78 -77.10 eV per cell.